w:
This record from the Alexandria database describes TaCuPb2 after structural relaxation. The functional is PBE.

N(E_F) ... 0.656 states/eV per atom
Symmetry ... C2/m
Size of the total moment ... 0.0 μB per cell

Lattice parameters (Å, degrees): 5.237 5.237 5.552 75.68 75.68 35.81
Sites, in units of the cell vectors:
Pb 0.491 0.491 0.503
Pb 0.009 0.009 0.997
Cu 0.750 0.750 0.750
Ta 0.250 0.250 0.250

=====

x:
This record from the Alexandria database describes TaCuPb2 after structural relaxation. The functional is PBE.

N(E_F) ... 0.765 states/eV per atom
Symmetry ... P4/mmm
Size of the total moment ... 0.0 μB per cell

Lattice parameters (Å, degrees): 3.142 3.142 8.855 90.00 90.00 90.00
Sites, in units of the cell vectors:
Ta 0.500 0.500 0.250
Pb 0.000 0.000 0.513
Pb 0.000 0.000 0.987
Cu 0.500 0.500 0.750

=====

Preferred: x; penalty for the next structure: 0.043 eV/atom.

=====

w:
This record from the Alexandria database describes TaCuPb2 after structural relaxation. The functional is PBE.

N(E_F) ... 1.186 states/eV per atom
Symmetry ... F-43m
Size of the total moment ... 1.3 μB per cell

Lattice parameters (Å, degrees): 5.048 5.048 5.048 60.00 60.00 60.00
Sites, in units of the cell vectors:
Cu 0.500 0.500 0.500
Pb 0.250 0.250 0.250
Pb 0.000 0.000 0.000
Ta 0.750 0.750 0.750

=====

x:
This record from the Alexandria database describes TaCuPb2 after structural relaxation. The functional is PBE.

N(E_F) ... 0.126 states/eV per atom
Symmetry ... P4mm
Size of the total moment ... 0.0 μB per cell

Lattice parameters (Å, degrees): 3.104 3.104 9.763 90.00 90.00 90.00
Sites, in units of the cell vectors:
Pb 0.000 0.000 0.924
Pb 0.500 0.500 0.307
Ta 0.000 0.000 0.553
Cu 0.500 0.500 0.716

=====

Preferred: x; penalty for the next structure: 0.640 eV/atom.

=====

w:
This record from the Alexandria database describes CuTcPb2 after structural relaxation. The functional is PBE.

N(E_F) ... 0.659 states/eV per atom
Symmetry ... Amm2
Size of the total moment ... 0.0 μB per cell

Lattice parameters (Å, degrees): 4.292 3.592 5.548 71.09 90.00 90.00
Sites, in units of the cell vectors:
Cu 0.500 0.551 0.773
Pb 0.000 0.978 0.917
Pb 0.500 0.273 0.330
Tc 0.000 0.698 0.480

=====

x:
This record from the Alexandria database describes CuTcPb2 after structural relaxation. The functional is PBE.

N(E_F) ... 0.714 states/eV per atom
Symmetry ... Imm2
Size of the total moment ... 0.0 μB per cell

Lattice parameters (Å, degrees): 6.776 6.776 6.776 153.18 140.83 48.11
Sites, in units of the cell vectors:
Pb 0.707 0.207 0.500
Pb 0.988 0.988 0.000
Cu 0.317 0.817 0.500
Tc 0.488 0.488 0.000

=====

Preferred: w; penalty for the next structure: 0.122 eV/atom.